Record 1
Density functional theory data (PBE) for an optimized crystal structure of Mg2PtI.

Structure (POSCAR):
```
Mg2PtI
1.0
0.000 3.506 3.506
3.506 0.000 3.506
3.506 3.506 0.000
Pt I Mg
1 1 2
Cartesian
3.506 3.506 3.506
0.000 0.000 0.000
1.753 1.753 1.753
5.259 5.259 5.259
```

The value obtained for the energy relative to the lowest polymorph listed for this composition is 132 meV per atom. The spin magnetization comes out at 0.000 μB per atom.

***

Record 2
Density functional theory data (PBE) for an optimized crystal structure of Mg2PtI.

Structure (POSCAR):
```
Mg2PtI
1.0
-1.612 4.751 2.851
-3.348 1.531 -4.444
-8.156 -0.582 2.197
Mg I Pt
4 2 2
Cartesian
-3.593 3.392 2.002
-4.205 1.029 -2.098
-10.722 5.182 -0.098
-7.712 1.798 1.402
-6.992 2.045 -1.522
-2.480 3.141 -0.796
-6.124 3.655 2.126
0.000 0.000 0.000
```

The value obtained for the energy relative to the lowest polymorph listed for this composition is 0 meV per atom. The spin magnetization comes out at 0.000 μB per atom.

***

Record 3
Density functional theory data (PBE) for an optimized crystal structure of MgPtI3.

Structure (POSCAR):
```
MgPtI3
1.0
-3.596 -4.165 0.186
4.034 -3.413 1.546
-1.054 1.146 5.281
I Pt Mg
3 1 1
Cartesian
2.017 -1.707 0.773
-0.527 0.573 2.640
-1.798 -2.082 0.093
0.000 0.000 0.000
-0.308 -3.216 3.506
```

The value obtained for the energy relative to the lowest polymorph listed for this composition is 0 meV per atom. The spin magnetization comes out at 0.000 μB per atom.